# 1
CdTe2W, optimized geometry, DFT PBE; electronic total energy = -4.330 eV per atom; uncorrected formation energy = 708.2 meV/atom; density = 8945 kg/m³
1.0
7.251 9.647 3.562
9.496 7.549 3.341
8.615 9.131 0.849
W Te Cd
1 2 1
direct
0.000 0.000 0.000
0.074 0.074 0.074
0.926 0.926 0.926
0.500 0.500 0.500

---

# 2
CdTeW3, optimized geometry, DFT PBE; electronic total energy = -6.224 eV per atom; uncorrected formation energy = 2359.6 meV/atom; density = 11166 kg/m³; energy above the most stable polymorph in this dataset = 0.0 kJ/mol of atoms
1.0
-1.990 0.717 -4.421
1.110 -4.608 -1.247
-4.339 -1.507 1.709
W Te Cd
3 1 1
direct
0.500 0.000 0.000
0.000 0.000 0.500
0.000 0.500 0.000
0.000 0.000 0.000
0.500 0.500 0.500

---

# 3
CdTe2W, optimized geometry, DFT PBE; electronic total energy = -4.258 eV per atom; uncorrected formation energy = 780.4 meV/atom; density = 9176 kg/m³
1.0
-4.828 0.250 4.335
2.838 -2.543 5.258
0.377 1.807 2.336
Te Cd W
2 1 1
direct
0.000 0.000 0.000
0.500 0.500 0.000
0.000 0.500 0.500
0.500 0.000 0.500

---

# 4
CdTeW3, optimized geometry, DFT PBE; electronic total energy = -5.650 eV per atom; uncorrected formation energy = 2932.9 meV/atom; density = 11119 kg/m³; energy above the most stable polymorph in this dataset = 55.3 kJ/mol of atoms
1.0
-3.455 2.792 2.087
-2.896 -3.934 0.469
1.940 -0.901 4.417
W Te Cd
3 1 1
direct
0.500 0.000 0.000
0.000 0.500 0.000
0.000 0.000 0.500
0.500 0.500 0.500
0.000 0.000 0.000

---

# 5
CdTe2W, optimized geometry, DFT PBE; electronic total energy = -4.059 eV per atom; uncorrected formation energy = 979.2 meV/atom; density = 10099 kg/m³
1.0
-0.328 -1.694 -3.055
-2.408 -4.204 2.590
-4.205 2.003 -0.659
W Cd Te
1 1 2
direct
0.500 0.000 0.500
0.000 0.500 0.500
0.000 0.000 0.000
0.500 0.500 0.000

---

# 6
CdTe2W, optimized geometry, DFT PBE; electronic total energy = -4.868 eV per atom; uncorrected formation energy = 169.5 meV/atom; density = 8168 kg/m³
1.0
-2.709 -9.192 5.396
0.445 -10.109 4.309
0.083 -8.288 7.228
Te Cd W
2 1 1
direct
0.892 0.892 0.892
0.108 0.108 0.108
0.000 0.000 0.000
0.500 0.500 0.500

---

# 7
CdTeW, optimized geometry, DFT PBE; electronic total energy = -4.939 eV per atom; uncorrected formation energy = 731.1 meV/atom; density = 10059 kg/m³; energy above the most stable polymorph in this dataset = 28.2 kJ/mol of atoms
1.0
8.811 0.058 -0.038
8.046 2.992 -0.040
0.766 -1.148 2.700
Cd Te W
1 1 1
direct
0.974 0.974 0.026
0.697 0.697 0.303
0.329 0.329 0.671

---

# 8
CdTeW, optimized geometry, DFT PBE; electronic total energy = -4.744 eV per atom; uncorrected formation energy = 925.7 meV/atom; density = 10133 kg/m³; energy above the most stable polymorph in this dataset = 47.0 kJ/mol of atoms
1.0
4.614 0.000 0.000
2.307 3.996 0.000
2.307 1.332 3.767
Te Cd W
1 1 1
direct
0.500 0.500 0.500
0.000 0.000 0.000
0.250 0.250 0.250

---

Repeat the second record exactly.
CdTeW3, optimized geometry, DFT PBE; electronic total energy = -6.224 eV per atom; uncorrected formation energy = 2359.6 meV/atom; density = 11166 kg/m³; energy above the most stable polymorph in this dataset = 0.0 kJ/mol of atoms
1.0
-1.990 0.717 -4.421
1.110 -4.608 -1.247
-4.339 -1.507 1.709
W Te Cd
3 1 1
direct
0.500 0.000 0.000
0.000 0.000 0.500
0.000 0.500 0.000
0.000 0.000 0.000
0.500 0.500 0.500

---

Question: uncorrected formation energy of number 8 (CdTeW)?
Answer: 925.7 meV/atom

---

Question: Look up the electronic total energy of the fifth one.
Answer: -4.059 eV per atom

---

Copy entry 5 word for word.
CdTe2W, optimized geometry, DFT PBE; electronic total energy = -4.059 eV per atom; uncorrected formation energy = 979.2 meV/atom; density = 10099 kg/m³
1.0
-0.328 -1.694 -3.055
-2.408 -4.204 2.590
-4.205 2.003 -0.659
W Cd Te
1 1 2
direct
0.500 0.000 0.500
0.000 0.500 0.500
0.000 0.000 0.000
0.500 0.500 0.000